Material: ErAl2Rh
Method: DFT, GGA-PBE
State: relaxed

Summary:
- Formation energy: -0.6668 eV per atom

Cell lengths 3.1194, 3.1194, 7.2927 Å; angles 90.00, 90.00, 90.00 degrees
Fractional coordinates of all 4 atoms:
Rh 0.5000 0.5000 0.0000
Al 0.0000 0.0000 0.8067
Al 0.0000 0.0000 0.1933
Er 0.5000 0.5000 0.5000